Entry 1:
Compound: AcPm6Se8
Source: Alexandria via LeMat-Bulk
Functional: PBE-GGA
Structure: optimized geometry

abc: 8.414 8.414 8.414
angles: 60.00 60.00 60.00
Fractional coordinates of all 15 atoms:
Pm 0.000 0.500 0.500
Pm 0.000 0.000 0.500
Pm 0.500 0.500 0.000
Pm 0.500 0.000 0.000
Pm 0.000 0.500 0.000
Pm 0.500 0.000 0.500
Se 0.738 0.738 0.262
Se 0.262 0.262 0.738
Se 0.250 0.250 0.250
Se 0.738 0.262 0.262
Se 0.262 0.738 0.262
Se 0.738 0.262 0.738
Se 0.262 0.738 0.738
Se 0.750 0.750 0.750
Ac 0.000 0.000 0.000

Results
Space group: Fm-3m (225)
Fermi-level density of states: 6.99 states/eV/f.u.
E_form (uncorrected): -1.858 eV/atom

Entry 2:
Compound: MgNbAu
Source: Alexandria via LeMat-Bulk
Functional: PBE-GGA
Structure: optimized geometry

abc: 8.078 4.368 3.239
angles: 90.00 89.73 90.00
Fractional coordinates of all 6 atoms:
Mg 0.238 0.550 0.170
Mg 0.978 0.050 0.662
Au 0.888 0.550 0.163
Au 0.329 0.050 0.669
Nb 0.623 0.049 0.166
Nb 0.594 0.549 0.666

Results
Space group: P2_1/m (11)
Fermi-level density of states: 2.01 states/eV/f.u.
ΔE_f: -0.17 eV per atom

Entry 3:
Compound: CrHg3Se
Source: Alexandria via LeMat-Bulk
Functional: PBE-GGA
Structure: optimized geometry

abc: 5.320 5.320 5.320
angles: 90.00 90.00 90.00
Fractional coordinates of all 5 atoms:
Se 0.500 0.500 0.500
Cr 0.000 0.000 0.000
Hg 0.000 0.500 0.000
Hg 0.500 0.000 0.000
Hg 0.000 0.000 0.500

Results
Space group: Pm-3m (221)
Fermi-level density of states: 5.11 states/eV/f.u.
E_form (uncorrected): 0.570 eV/atom

Entry 4:
Compound: LiMgAsO4
Source: Alexandria via LeMat-Bulk
Functional: PBE-GGA
Structure: optimized geometry

abc: 4.947 6.049 10.573
angles: 90.00 90.00 90.00
Fractional coordinates of all 28 atoms:
Mg 0.006 0.250 0.725
Mg 0.494 0.250 0.225
Mg 0.506 0.750 0.775
Mg 0.994 0.750 0.275
As 0.565 0.250 0.906
As 0.065 0.750 0.594
As 0.935 0.250 0.406
As 0.435 0.750 0.094
O 0.278 0.531 0.171
O 0.222 0.969 0.671
O 0.220 0.250 0.902
O 0.722 0.031 0.829
O 0.778 0.031 0.329
O 0.704 0.250 0.055
O 0.796 0.250 0.555
O 0.780 0.750 0.098
O 0.720 0.750 0.598
O 0.722 0.469 0.829
O 0.222 0.531 0.671
O 0.778 0.469 0.329
O 0.278 0.969 0.171
O 0.204 0.750 0.445
O 0.280 0.250 0.402
O 0.296 0.750 0.945
Li 0.500 0.500 0.500
Li 0.000 0.000 0.000
Li 0.000 0.500 0.000
Li 0.500 0.000 0.500

Results
Space group: Pnma (62)
Fermi-level density of states: 0.00 states/eV/f.u.
E_form (uncorrected): -1.985 eV/atom

Entry 5:
Compound: TbPr7In4
Source: Alexandria via LeMat-Bulk
Functional: PBE-GGA
Structure: optimized geometry

abc: 5.884 9.618 7.972
angles: 75.50 68.34 72.19
Fractional coordinates of all 12 atoms:
In 0.557 0.247 0.640
In 0.319 0.333 0.029
In 0.443 0.753 0.360
In 0.681 0.667 0.971
Pr 0.937 0.391 0.734
Pr 0.720 0.341 0.219
Pr 0.063 0.609 0.266
Pr 0.500 0.000 0.000
Pr 0.280 0.659 0.781
Pr 0.796 0.881 0.527
Pr 0.204 0.119 0.473
Tb 0.000 0.000 0.000

Results
Space group: C2/m (12)
Fermi-level density of states: 13.32 states/eV/f.u.
ΔE_f: -0.15 eV per atom

Entry 6:
Compound: Rb4NiBr6
Source: Alexandria via LeMat-Bulk
Functional: PBE-GGA
Structure: optimized geometry

abc: 9.328 9.328 9.698
angles: 90.00 90.00 90.00
Fractional coordinates of all 22 atoms:
Br 0.277 0.916 0.500
Br 0.500 0.500 0.738
Br 0.084 0.277 0.500
Br 0.000 0.000 0.238
Br 0.916 0.723 0.500
Br 0.416 0.777 0.000
Br 0.723 0.084 0.500
Br 0.000 0.000 0.762
Br 0.777 0.584 0.000
Br 0.500 0.500 0.262
Br 0.223 0.416 0.000
Br 0.584 0.223 0.000
Ni 0.000 0.000 0.500
Ni 0.500 0.500 0.000
Rb 0.674 0.826 0.250
Rb 0.674 0.826 0.750
Rb 0.326 0.174 0.750
Rb 0.174 0.674 0.750
Rb 0.826 0.326 0.750
Rb 0.326 0.174 0.250
Rb 0.826 0.326 0.250
Rb 0.174 0.674 0.250

Results
Space group: P4/mnc (128)
E_form (uncorrected): -1.321 eV/atom

The ρ results, record by record, are as follows: 6.8; 9.1; 8.1; 3.6; 6.8; 3.5 g/cm³.
The uncorrected energy results, record by record, are as follows: -88.4; -15.5; -11.2; -41.9; -50.8; -34.2 eV per formula unit.
The M_tot results, record by record, are as follows: 0.000; 0.000; 3.838; 0.000; 0.000; 1.811 μB per formula unit.